Record 1
This record from the Alexandria database describes a relaxed structure of Sc2AgB. The functional is PBE.

The structure in POSCAR format:
```
Sc2AgB
1.0
1.7170 0.9913 8.2590
-1.7170 0.9913 8.2590
0.0000 -1.9826 8.2590
Sc Ag B
2 1 1
Direct
0.1159 0.1159 0.1159
0.8841 0.8841 0.8841
0.0000 0.0000 0.0000
0.5000 0.5000 0.5000
```

Properties
Its space-group type is R-3m (166). The calculation puts the formation energy from the elements at 0.104 eV per atom. The value obtained for the theoretical density is 4107 kg/m³. For the density of states at the Fermi level, the calculation gives 4.8 states/eV per cell.



Record 2
This record from the Alexandria database describes a relaxed structure of Sc3AgB. The functional is PBE.

The structure in POSCAR format:
```
Sc3AgB
1.0
4.6679 0.0000 0.0000
0.0000 4.6679 0.0000
0.0000 0.0000 4.6679
Sc Ag B
3 1 1
Direct
0.0000 0.0000 0.5000
0.0000 0.5000 0.0000
0.5000 0.0000 0.0000
0.5000 0.5000 0.5000
0.0000 0.0000 0.0000
```

Properties
Its space-group type is Pm-3m (221). The energy above the most stable polymorph in this dataset comes out at 0.0 meV/atom. The calculation puts the formation energy from the elements at -0.140 eV per atom. The value obtained for the theoretical density is 4140 kg/m³. For the density of states at the Fermi level, the calculation gives 6.2 states/eV per cell.



Record 3
This record from the Alexandria database describes a relaxed structure of Sc2AgB2. The functional is PBE.

The structure in POSCAR format:
```
Sc2AgB2
1.0
6.4148 0.0000 0.0000
0.0000 6.4148 0.0000
0.0000 0.0000 3.4526
Sc Ag B
4 2 4
Direct
0.1785 0.3215 0.0000
0.3215 0.8215 0.0000
0.6785 0.1785 0.0000
0.8215 0.6785 0.0000
0.0000 0.0000 0.5000
0.5000 0.5000 0.5000
0.0913 0.5913 0.5000
0.4087 0.0913 0.5000
0.5913 0.9087 0.5000
0.9087 0.4087 0.5000
```

Properties
Its space-group type is P4/mbm (127). The energy above the most stable polymorph in this dataset comes out at 0.0 meV/atom. The calculation puts the formation energy from the elements at -0.332 eV per atom. The value obtained for the theoretical density is 5129 kg/m³. For the density of states at the Fermi level, the calculation gives 5.3 states/eV per cell.



Record 4
This record from the Alexandria database describes a relaxed structure of Sc2AgB. The functional is PBE.

The structure in POSCAR format:
```
Sc2AgB
1.0
1.5741 0.9088 9.5556
-1.5741 0.9088 9.5556
0.0000 -1.8176 9.5556
Sc Ag B
2 1 1
Direct
0.0827 0.0827 0.0827
0.9173 0.9173 0.9173
0.5000 0.5000 0.5000
0.0000 0.0000 0.0000
```

Properties
Its space-group type is R-3m (166). The calculation puts the formation energy from the elements at 0.862 eV per atom. The value obtained for the theoretical density is 4223 kg/m³. For the density of states at the Fermi level, the calculation gives 3.0 states/eV per cell.



Record 5
This record from the Alexandria database describes a relaxed structure of Sc2AgB. The functional is PBE.

The structure in POSCAR format:
```
Sc2AgB
1.0
-3.4700 3.4700 3.1977
3.4700 -3.4700 3.1977
3.4700 3.4700 -3.1977
Sc Ag B
4 2 2
Direct
0.0579 0.1250 0.4329
0.3750 0.9421 0.0671
0.6921 0.6250 0.5671
0.8750 0.3079 0.9329
0.2500 0.7500 0.5000
0.5000 0.5000 0.0000
0.0000 0.0000 0.0000
0.7500 0.2500 0.5000
```

Properties
Its space-group type is I-42d (122). The calculation puts the formation energy from the elements at 0.168 eV per atom. The value obtained for the theoretical density is 4498 kg/m³. For the density of states at the Fermi level, the calculation gives 2.4 states/eV per cell.



Record 6
This record from the Alexandria database describes a relaxed structure of Sc3AgB. The functional is PBE.

The structure in POSCAR format:
```
Sc3AgB
1.0
5.0697 0.0000 0.0000
0.0000 5.0697 0.0000
0.0000 0.0000 5.0697
Sc Ag B
3 1 1
Direct
0.0000 0.0000 0.5000
0.0000 0.5000 0.0000
0.5000 0.0000 0.0000
0.0000 0.0000 0.0000
0.5000 0.5000 0.5000
```

Properties
Its space-group type is Pm-3m (221). The energy above the most stable polymorph in this dataset comes out at 1321.5 meV/atom. The calculation puts the formation energy from the elements at 1.182 eV per atom. The value obtained for the theoretical density is 3231 kg/m³. For the density of states at the Fermi level, the calculation gives 11.3 states/eV per cell.



Record 7
This record from the Alexandria database describes a relaxed structure of Ag2BSe. The functional is PBE.

The structure in POSCAR format:
```
Ag2BSe
1.0
0.0000 3.2402 3.2402
3.2402 0.0000 3.2402
3.2402 3.2402 0.0000
Ag B Se
2 1 1
Direct
0.2500 0.2500 0.2500
0.7500 0.7500 0.7500
0.0000 0.0000 0.0000
0.5000 0.5000 0.5000
```

Properties
Its space-group type is Fm-3m (225). The energy above the most stable polymorph in this dataset comes out at 149.6 meV/atom. The value obtained for the theoretical density is 7456 kg/m³. The uncorrected formation energy comes out at 879 meV per atom. For the density of states at the Fermi level, the calculation gives 1.0 states/eV per cell.



Record 8
This record from the Alexandria database describes a relaxed structure of AgBSe2. The functional is PBE.

The structure in POSCAR format:
```
AgBSe2
1.0
-2.7356 2.7356 4.9873
2.7356 -2.7356 4.9873
2.7356 2.7356 -4.9873
Ag B Se
2 2 4
Direct
0.3750 0.6250 0.7500
0.6250 0.3750 0.2500
0.1250 0.8750 0.2500
0.8750 0.1250 0.7500
0.0757 0.3257 0.7500
0.3257 0.0757 0.2500
0.6743 0.9243 0.7500
0.9243 0.6743 0.2500
```

Properties
Its space-group type is I4_1/amd (141). The value obtained for the theoretical density is 6153 kg/m³. The uncorrected formation energy comes out at 436 meV per atom. For the density of states at the Fermi level, the calculation gives 0.0 states/eV per cell.



Record 9
This record from the Alexandria database describes a relaxed structure of Ag2B2Se5. The functional is PBE.

The structure in POSCAR format:
```
Ag2B2Se5
1.0
5.9872 -2.4240 0.0000
5.9872 2.4240 0.0000
-1.6845 0.0000 6.1309
Ag B Se
2 2 5
Direct
0.1328 0.1328 0.3531
0.8672 0.8672 0.6469
0.3434 0.3434 0.1248
0.6566 0.6566 0.8752
0.1733 0.1733 0.9494
0.3803 0.3803 0.4578
0.5000 0.5000 0.0000
0.6197 0.6197 0.5422
0.8267 0.8267 0.0506
```

Properties
Its space-group type is C2/m (12). The value obtained for the theoretical density is 5899 kg/m³. The uncorrected formation energy comes out at 305 meV per atom. For the density of states at the Fermi level, the calculation gives 4.0 states/eV per cell.



Record 10
This record from the Alexandria database describes a relaxed structure of AgBSe2. The functional is PBE.

The structure in POSCAR format:
```
AgBSe2
1.0
5.1792 0.0000 0.0000
-1.2685 6.0561 0.0000
-0.2336 -0.5804 6.7244
Ag B Se
2 2 4
Direct
0.1386 0.3903 0.1354
0.8614 0.6097 0.8646
0.1180 0.1704 0.6071
0.8820 0.8296 0.3929
0.2106 0.0477 0.3411
0.2886 0.4378 0.7588
0.7114 0.5622 0.2412
0.7894 0.9523 0.6589
```

Properties
Its space-group type is P-1 (2). The value obtained for the theoretical density is 4355 kg/m³. The uncorrected formation energy comes out at -37 meV per atom. For the density of states at the Fermi level, the calculation gives 0.0 states/eV per cell.



Record 11
This record from the Alexandria database describes a relaxed structure of AgBSe2. The functional is PBE.

The structure in POSCAR format:
```
AgBSe2
1.0
4.5861 0.0000 0.0000
0.3353 7.3285 0.0000
0.5438 3.5509 6.5469
Ag B Se
2 2 4
Direct
0.2438 0.1229 0.4960
0.7562 0.8771 0.5040
0.1038 0.5865 0.5896
0.8962 0.4135 0.4104
0.0765 0.6977 0.2886
0.2681 0.7023 0.7444
0.7319 0.2977 0.2556
0.9235 0.3023 0.7114
```

Properties
Its space-group type is P-1 (2). The value obtained for the theoretical density is 4175 kg/m³. The uncorrected formation energy comes out at -59 meV per atom. For the density of states at the Fermi level, the calculation gives 0.0 states/eV per cell.



Which value of theoretical density does entry 7 give?
7456 kg/m³